The following is a DFT calculation (GGA-PBE) of crystalline Te3W at its relaxed geometry.

Space group: No. 65
ΔE_f (raw), eV/atom: 1.085

Cell lengths 5.498, 5.498, 3.506 Å; angles 90.00, 90.00, 115.83 degrees
Site moments in Bohr magnetons follow the coordinates.
Fractional positions:
W  0.000  0.000  0.000  0.12
Te  0.500  0.500  0.000  0.00
Te  0.500  0.000  0.500  -0.01
Te  0.000  0.500  0.500  -0.01

---

The following is a DFT calculation (GGA-PBE) of crystalline HfMgCdAu2 at its relaxed geometry.

E_form, eV per atom: 0.5269
Space group: No. 123

Cell lengths 4.776, 4.858, 4.776 Å; angles 90.00, 90.00, 90.00 degrees
Fractional positions:
Cd  0.000  0.500  0.000
Au  0.000  0.000  0.500
Au  0.500  0.000  0.000
Hf  0.500  0.500  0.500
Mg  0.000  0.000  0.000

---

The following is a DFT calculation (GGA-PBE) of crystalline Dy4ErSc at its relaxed geometry.

E_form, eV per atom: 0.1289
Space group: No. 65

Cell lengths 5.725, 6.248, 8.476 Å; angles 42.51, 70.26, 62.72 degrees
Fractional positions:
Er  0.500  0.500  0.500
Dy  0.661  0.679  0.999
Dy  0.160  0.180  0.500
Dy  0.840  0.820  0.500
Dy  0.339  0.321  0.001
Sc  0.000  0.000  0.000

---

The following is a DFT calculation (GGA-PBE) of crystalline PtPbIN2 at its relaxed geometry.

Space group: No. 123
ΔE_f (raw), eV/atom: 1.372

Cell lengths 4.171, 4.171, 5.901 Å; angles 90.00, 90.00, 90.00 degrees
Site moments in Bohr magnetons follow the coordinates.
Fractional positions:
Pt  0.000  0.000  0.000  0.54
N  0.500  0.000  0.000  0.85
N  0.000  0.500  0.000  0.85
Pb  0.500  0.500  0.500  -0.06
I  0.000  0.000  0.500  0.03

---

The following is a DFT calculation (GGA-PBE) of crystalline Nb2IrRu at its relaxed geometry.

E_form, eV per atom: -0.3287
Space group: No. 51

Cell lengths 3.743, 4.153, 8.311 Å; angles 90.00, 90.00, 90.00 degrees
Fractional positions:
Nb  0.000  0.250  0.624
Nb  0.000  0.250  0.126
Nb  0.000  0.750  0.376
Nb  0.000  0.750  0.874
Ir  0.500  0.250  0.878
Ir  0.500  0.750  0.122
Ru  0.500  0.750  0.628
Ru  0.500  0.250  0.372

---

The following is a DFT calculation (GGA-PBE) of crystalline FeMo3S at its relaxed geometry.

Space group: No. 221
ΔE_f (raw), eV/atom: 0.894

Cell lengths 4.363, 4.363, 4.363 Å; angles 90.00, 90.00, 90.00 degrees
Fractional positions:
Mo  0.000  0.000  0.500
Mo  0.500  0.000  0.000
Mo  0.000  0.500  0.000
S  0.000  0.000  0.000
Fe  0.500  0.500  0.500

---

The following is a DFT calculation (GGA-PBE) of crystalline NaTeI5 at its relaxed geometry.

Space group: No. 15
ΔE_f (raw), eV/atom: -0.381

Cell lengths 8.144, 8.144, 12.222 Å; angles 68.48, 68.48, 96.60 degrees
Fractional positions:
I  0.643  0.697  0.157
I  0.199  0.716  0.022
I  0.357  0.303  0.843
I  0.697  0.643  0.657
I  0.284  0.801  0.478
I  0.303  0.357  0.343
I  0.003  0.997  0.750
I  0.716  0.199  0.522
I  0.801  0.284  0.978
I  0.997  0.003  0.250
Te  0.000  0.000  0.500
Te  0.000  0.000  0.000
Na  0.282  0.718  0.750
Na  0.718  0.282  0.250

---

The following is a DFT calculation (GGA-PBE) of crystalline Nd2SmThP4 at its relaxed geometry.

E_form, eV per atom: -1.5794
Space group: No. 10

Cell lengths 4.150, 7.174, 7.183 Å; angles 109.43, 90.00, 90.00 degrees
Fractional positions:
Th  0.500  0.500  0.000
Nd  0.500  0.000  0.500
Nd  0.000  0.500  0.500
P  0.500  0.750  0.755
P  0.000  0.252  0.754
P  0.500  0.250  0.245
P  0.000  0.748  0.246
Sm  0.000  0.000  0.000

---

Table of total energy (eV per atom), in record order: -4.509; -3.277; -4.755; -4.218; -9.898; -8.122; -2.125; -6.994